Record 1
Material: K2U2SbSe6
Method: DFT, GGA-PBE
State: relaxed

Output
- calculated volume (Å³/cell) = 359.5
- DOS at the Fermi energy (states/eV per cell) = 11.76
- E_form (uncorrected) (eV/atom) = -1.04
- symmetry = C2/m

Cell: 7.2755 7.2755 8.1906 Å, 98.28 98.28 120.00°
Closest atoms and distances in Å follow each position.
Sites, in units of the cell vectors:
K (0.1646, 0.8354, 0.0000)  6 Se 3.36-3.39
K (0.8354, 0.1646, 0.0000)  6 Se 3.36-3.39
U (0.3339, 0.6661, 0.5000)  6 Se 2.88-2.89
U (0.6661, 0.3339, 0.5000)  6 Se 2.88-2.89
Sb (0.0000, 0.0000, 0.5000)  6 Se 2.91
Se (0.0648, 0.4013, 0.7007)  2 U 2.88-2.89, 1 Sb 2.91
Se (0.2693, 0.2693, 0.2978)  2 U 2.89, 1 Sb 2.91
Se (0.4013, 0.0648, 0.7007)  2 U 2.88-2.89, 1 Sb 2.91
Se (0.5987, 0.9352, 0.2993)  2 U 2.88-2.89, 1 Sb 2.91
Se (0.7307, 0.7307, 0.7022)  2 U 2.89, 1 Sb 2.91
Se (0.9352, 0.5987, 0.2993)  2 U 2.88-2.89, 1 Sb 2.91


Record 2
Material: K2USb2Se6
Method: DFT, GGA-PBE
State: relaxed

Output
- calculated volume (Å³/cell) = 360.8
- DOS at the Fermi energy (states/eV per cell) = 8.59
- E_form (uncorrected) (eV/atom) = -0.84
- symmetry = C2/m

Cell: 7.2886 7.2886 8.2343 Å, 98.86 98.86 119.91°
Closest atoms and distances in Å follow each position.
Sites, in units of the cell vectors:
K (0.1692, 0.8308, 0.0000)  6 Se 3.36-3.40
K (0.8308, 0.1692, 0.0000)  6 Se 3.36-3.40
U (0.0000, 0.0000, 0.5000)  6 Se 2.83-2.86
Sb (0.3307, 0.6693, 0.5000)  6 Se 2.87-2.94
Sb (0.6693, 0.3307, 0.5000)  6 Se 2.87-2.94
Se (0.0677, 0.3977, 0.6999)  1 U 2.86, 2 Sb 2.87-2.91
Se (0.2545, 0.2545, 0.3009)  1 U 2.83, 2 Sb 2.94
Se (0.3977, 0.0677, 0.6999)  1 U 2.86, 2 Sb 2.87-2.91
Se (0.6023, 0.9323, 0.3001)  1 U 2.86, 2 Sb 2.87-2.91
Se (0.7455, 0.7455, 0.6991)  1 U 2.83, 2 Sb 2.94
Se (0.9323, 0.6023, 0.3001)  1 U 2.86, 2 Sb 2.87-2.91


Record 3
Material: KU2SbSe8
Method: DFT, GGA-PBE
State: relaxed

Output
- calculated volume (Å³/cell) = 348.1
- DOS at the Fermi energy (states/eV per cell) = 11.49
- E_form (uncorrected) (eV/atom) = -0.86
- symmetry = Cm

Cell: 6.9164 6.9164 7.9393 Å, 98.49 98.49 108.65°
Closest atoms and distances in Å follow each position.
Sites, in units of the cell vectors:
K (0.0000, 0.0000, 0.0000)  8 Se 3.33-3.48
U (0.1223, 0.6225, 0.4900)  8 Se 2.86-2.95
U (0.6225, 0.1223, 0.4900)  8 Se 2.86-2.95
Sb (0.5437, 0.5437, 0.1719)  4 Se 2.60-2.81
Se (0.0470, 0.3018, 0.6908)  2 Se 2.74-2.86, 2 U 2.88-2.90
Se (0.3018, 0.0470, 0.6908)  2 Se 2.74-2.86, 2 U 2.88-2.90
Se (0.3096, 0.8040, 0.2266)  1 Sb 2.81, 2 U 2.86
Se (0.3353, 0.3353, 0.3742)  1 Sb 2.60
Se (0.5429, 0.8000, 0.6947)  2 Se 2.74-2.89, 2 U 2.89-2.91
Se (0.8000, 0.5429, 0.6947)  2 Se 2.74-2.89, 2 U 2.89-2.91
Se (0.8040, 0.3096, 0.2266)  1 Sb 2.81, 2 U 2.86
Se (0.8526, 0.8526, 0.3759)  1 Sb 2.61